Record 1
Here is an optimized crystal structure of ReGeO2F from Alexandria. Energies are from PBE.

Cell: 3.816 3.816 4.803 Å, 90.00 90.00 90.00°
Fractional positions:
Re  0.000  0.000  0.000
Ge  0.500  0.500  0.500
O  0.000  0.500  0.000
O  0.500  0.000  0.000
F  0.000  0.000  0.500

- Space-group type: No. 123
- Total magnetic moment: 0.00 μB per cell
- Raw formation energy: -0.80 eV/atom


Record 2
Here is an optimized crystal structure of GeRhO2F from Alexandria. Energies are from PBE.

Cell: 3.842 3.842 3.927 Å, 90.00 90.00 90.00°
Each line ends with the local moment (μB).
Fractional positions:
Ge  0.000  0.000  0.000  -0.01
Rh  0.500  0.500  0.500  1.87
O  0.000  0.500  0.000  0.13
O  0.500  0.000  0.000  0.13
F  0.000  0.000  0.500  0.00

- Space-group type: No. 123
- Total magnetic moment: 2.27 μB per cell
- Raw formation energy: -0.56 eV/atom


Record 3
Here is an optimized crystal structure of GeRhO2F from Alexandria. Energies are from PBE.

Cell: 3.993 3.993 4.056 Å, 90.00 90.00 90.00°
Fractional positions:
Ge  0.500  0.500  0.500
Rh  0.000  0.000  0.000
O  0.000  0.500  0.000
O  0.500  0.000  0.000
F  0.000  0.000  0.500

- Space-group type: No. 123
- Total magnetic moment: 0.00 μB per cell
- Raw formation energy: -0.52 eV/atom


Record 4
Here is an optimized crystal structure of GeRuOF2 from Alexandria. Energies are from PBE.

Cell: 4.407 4.407 3.704 Å, 90.00 90.00 90.00°
Fractional positions:
Ru  0.000  0.000  0.000
Ge  0.500  0.500  0.500
O  0.000  0.000  0.500
F  0.000  0.500  0.000
F  0.500  0.000  0.000

- Space-group type: No. 123
- Total magnetic moment: 0.00 μB per cell
- Offset from the most stable computed form: 0 meV per atom
- Raw formation energy: -0.72 eV/atom


Record 5
Here is an optimized crystal structure of GeRuOF2 from Alexandria. Energies are from PBE.

Cell: 4.287 4.287 3.852 Å, 90.00 90.00 90.00°
Each line ends with the local moment (μB).
Fractional positions:
Ru  0.500  0.500  0.500  2.77
Ge  0.000  0.000  0.000  -0.01
O  0.000  0.000  0.500  0.04
F  0.000  0.500  0.000  0.03
F  0.500  0.000  0.000  0.03

- Space-group type: No. 123
- Total magnetic moment: 3.10 μB per cell
- Offset from the most stable computed form: 228 meV per atom
- Raw formation energy: -0.49 eV/atom


Record 6
Here is an optimized crystal structure of GeSO2F from Alexandria. Energies are from PBE.

Cell: 3.810 3.810 3.949 Å, 90.00 90.00 90.00°
Each line ends with the local moment (μB).
Fractional positions:
Ge  0.000  0.000  0.000  -0.02
S  0.500  0.500  0.500  0.85
O  0.000  0.500  0.000  0.12
O  0.500  0.000  0.000  0.12
F  0.000  0.000  0.500  0.07

- Space-group type: No. 123
- Total magnetic moment: 1.58 μB per cell
- Raw formation energy: -0.40 eV/atom


Record 7
Here is an optimized crystal structure of GeSO2F from Alexandria. Energies are from PBE.

Cell: 3.621 3.621 5.047 Å, 90.00 90.00 90.00°
Fractional positions:
Ge  0.500  0.500  0.500
S  0.000  0.000  0.000
O  0.000  0.500  0.000
O  0.500  0.000  0.000
F  0.000  0.000  0.500

- Space-group type: No. 123
- Total magnetic moment: 0.00 μB per cell
- Raw formation energy: -0.24 eV/atom


Record 8
Here is an optimized crystal structure of GeS2O8F from Alexandria. Energies are from PBE.

Cell: 4.733 4.733 8.005 Å, 92.09 92.09 64.51°
Each line ends with the local moment (μB).
Fractional positions:
Ge  0.000  0.000  0.000  0.00
S  0.656  0.656  0.196  0.00
S  0.344  0.344  0.804  0.00
O  0.696  0.219  0.831  0.01
O  0.771  0.771  0.050  0.00
O  0.733  0.733  0.359  0.05
O  0.267  0.267  0.641  0.05
O  0.229  0.229  0.950  0.00
O  0.219  0.696  0.831  0.01
O  0.781  0.304  0.169  0.01
O  0.304  0.781  0.169  0.01
F  0.000  0.000  0.500  0.74

- Space-group type: No. 12
- Total magnetic moment: 1.02 μB per cell
- Raw formation energy: -1.06 eV/atom